Compound: SrTlCr
Source: Alexandria
Functional: PBE
Structure: relaxed Values from VASP.

Cell and atoms, written as Quantum ESPRESSO input:
```
&SYSTEM
  ibrav = 0, nat = 3, ntyp = 3
/
ATOMIC_SPECIES
Sr 87.62 Sr.upf
Tl 204.38 Tl.upf
Cr 52.00 Cr.upf
CELL_PARAMETERS angstrom
5.020 0.000 0.000
-2.510 4.347 0.000
0.000 0.000 4.053
ATOMIC_POSITIONS crystal
Sr 0.000 0.000 0.000
Tl 0.667 0.333 0.500
Cr 0.333 0.667 0.500
```

Calculated values
electronic total energy = -12.913 eV for the cell shown
D(E_F) = 1.11 states/eV/atom
calculated formation energy = 0.253 eV/atom
calculated volume = 88.4 Å³ per cell
crystal system = hexagonal
calculated density = 6.46 g/cm³
M_tot = 4.07 μB per cell

Compound: MgNpAl2
Source: Alexandria
Functional: PBE
Structure: relaxed Values from VASP.

Cell and atoms, written as Quantum ESPRESSO input:
```
&SYSTEM
  ibrav = 0, nat = 16, ntyp = 3
/
ATOMIC_SPECIES
Mg 24.30 Mg.upf
Np 237.00 Np.upf
Al 26.98 Al.upf
CELL_PARAMETERS angstrom
6.896 0.000 0.000
0.000 6.896 0.000
0.000 0.000 6.896
ATOMIC_POSITIONS crystal
Mg 0.000 0.000 0.000
Mg 0.000 0.500 0.500
Mg 0.500 0.000 0.500
Mg 0.500 0.500 0.000
Np 0.000 0.000 0.500
Np 0.000 0.500 0.000
Np 0.500 0.000 0.000
Np 0.500 0.500 0.500
Al 0.250 0.250 0.250
Al 0.250 0.250 0.750
Al 0.250 0.750 0.250
Al 0.250 0.750 0.750
Al 0.750 0.250 0.250
Al 0.750 0.250 0.750
Al 0.750 0.750 0.250
Al 0.750 0.750 0.750
```

Calculated values
electronic total energy = -86.648 eV for the cell shown
D(E_F) = 2.26 states/eV/atom
calculated formation energy = 0.090 eV/atom
calculated volume = 327.9 Å³ per cell
crystal system = cubic
calculated density = 6.39 g/cm³
M_tot = 16.38 μB per cell

Compound: K2HfBr2Cl4
Source: Alexandria
Functional: PBE
Structure: relaxed Values from VASP.

Cell and atoms, written as Quantum ESPRESSO input:
```
&SYSTEM
  ibrav = 0, nat = 9, ntyp = 4
/
ATOMIC_SPECIES
K 39.10 K.upf
Hf 178.49 Hf.upf
Br 79.90 Br.upf
Cl 35.45 Cl.upf
CELL_PARAMETERS angstrom
6.421 -3.643 0.000
6.421 3.643 0.000
-4.060 0.000 6.329
ATOMIC_POSITIONS crystal
K 0.245 0.245 0.218
K 0.755 0.755 0.782
Hf 0.500 0.500 0.000
Br 0.266 0.266 0.683
Br 0.734 0.734 0.317
Cl 0.215 0.690 0.178
Cl 0.310 0.785 0.822
Cl 0.690 0.215 0.178
Cl 0.785 0.310 0.822
```

Calculated values
electronic total energy = -39.501 eV for the cell shown
D(E_F) = 0.00 states/eV/atom
calculated volume = 296.1 Å³ per cell
crystal system = monoclinic
uncorrected formation energy = -1847 meV per atom
calculated density = 3.13 g/cm³
M_tot = 0.00 μB per cell